Compound: PaMnFeO6
Source: Alexandria via LeMat-Bulk
Functional: PBE+U
Structure: optimized geometry

```
9
Lattice="4.782 0.000 0.000 0.000 4.997 0.000 0.000 -2.499 4.328" Properties=species:S:1:pos:R:3 pbc="T T T"
Pa 0.000 0.000 2.885
O 3.457 1.757 2.904
O 1.325 3.240 2.904
O 1.325 3.394 0.070
O 3.457 4.135 1.354
O 3.457 1.604 0.070
O 1.325 0.862 1.354
Mn 2.391 0.000 0.000
Fe 2.391 2.499 1.443
```

Computed properties:
As for the volume: 11.491 A^3/atom. The calculation puts the total energy at -7.895 eV per atom.